# 1
YAl3F: optimized geometry, GGA-PBEsol.

The structure in CIF format:
```
data_YAl3F
_chemical_formula_sum 'Y1 Al3 F1'
_space_group_name_H-M_alt 'P m -3 m'
_space_group_IT_number 221
_space_group_name_Hall '-P 4 2 3'
_cell_length_a 4.4599
_cell_length_b 4.4599
_cell_length_c 4.4599
_cell_angle_alpha 90.00
_cell_angle_beta 90.00
_cell_angle_gamma 90.00
loop_
_atom_site_label
_atom_site_fract_x
_atom_site_fract_y
_atom_site_fract_z
Y1 0.0000 0.0000 0.0000
Al1 0.0000 0.5000 0.5000
F1 0.5000 0.5000 0.5000
```

Properties
D(E_F): 2.12 states/eV/f.u.
electronic total energy: -4.879 eV per atom
V: 89 Å³ per cell


# 2
TlInPb: optimized geometry, GGA-PBEsol.

The structure in CIF format:
```
data_TlInPb
_chemical_formula_sum 'Tl2 In2 Pb2'
_space_group_name_H-M_alt 'I 4 m m'
_space_group_IT_number 107
_space_group_name_Hall 'I 4 -2'
_cell_length_a 3.4741
_cell_length_b 3.4741
_cell_length_c 13.8048
_cell_angle_alpha 90.00
_cell_angle_beta 90.00
_cell_angle_gamma 90.00
loop_
_atom_site_label
_atom_site_fract_x
_atom_site_fract_y
_atom_site_fract_z
Tl1 0.0000 0.0000 0.0000
In1 0.0000 0.0000 0.6622
Pb1 0.0000 0.0000 0.3250
```

Properties
ΔE_f: 0.01 eV/atom
D(E_F): 1.65 states/eV/f.u.
electronic total energy: -3.194 eV per atom
V: 167 Å³ per cell
ΔE to the lowest computed polymorph: 0.001 eV/atom


# 3
KTeAs2: optimized geometry, GGA-PBEsol.

The structure in CIF format:
```
data_KTeAs2
_chemical_formula_sum 'K1 Te1 As2'
_space_group_name_H-M_alt 'P m m m'
_space_group_IT_number 47
_cell_length_a 3.0966
_cell_length_b 5.5920
_cell_length_c 6.0363
_cell_angle_alpha 90.00
_cell_angle_beta 90.00
_cell_angle_gamma 90.00
loop_
_space_group_symop_operation_xyz
'x,y,z'
'-x,-y,-z'
'-x,-y,z'
'x,y,-z'
'x,-y,-z'
'-x,y,z'
'-x,y,-z'
'x,-y,z'
loop_
_atom_site_label
_atom_site_fract_x
_atom_site_fract_y
_atom_site_fract_z
K1 0.0000 0.0000 0.0000
Te1 0.5000 0.0000 0.5000
As1 0.5000 0.5000 0.2992
```

Properties
D(E_F): 1.69 states/eV/f.u.
electronic total energy: -3.805 eV per atom
V: 105 Å³ per cell


# 4
Mg2ReRu: optimized geometry, GGA-PBEsol.

The structure in CIF format:
```
data_Mg2ReRu
_chemical_formula_sum 'Mg4 Re2 Ru2'
_space_group_name_H-M_alt 'C m m m'
_space_group_IT_number 65
_space_group_name_Hall '-C 2 2'
_cell_length_a 3.1380
_cell_length_b 4.3637
_cell_length_c 8.9040
_cell_angle_alpha 90.00
_cell_angle_beta 90.00
_cell_angle_gamma 90.00
loop_
_atom_site_label
_atom_site_fract_x
_atom_site_fract_y
_atom_site_fract_z
Mg1 0.0000 0.0000 0.2427
Re1 0.0000 0.5000 0.5000
Ru1 0.0000 0.5000 0.0000
```

Properties
ΔE_f: 0.30 eV/atom
D(E_F): 3.71 states/eV/f.u.
electronic total energy: -6.433 eV per atom
V: 122 Å³ per cell
ΔE to the lowest computed polymorph: 0.254 eV/atom


# 5
ZrPW2: optimized geometry, GGA-PBEsol.

The structure in CIF format:
```
data_ZrPW2
_chemical_formula_sum 'Zr1 P1 W2'
_space_group_name_H-M_alt 'P 4/m m m'
_space_group_IT_number 123
_space_group_name_Hall '-P 4 2'
_cell_length_a 3.3205
_cell_length_b 3.3205
_cell_length_c 5.7942
_cell_angle_alpha 90.00
_cell_angle_beta 90.00
_cell_angle_gamma 90.00
loop_
_atom_site_label
_atom_site_fract_x
_atom_site_fract_y
_atom_site_fract_z
Zr1 0.0000 0.0000 0.0000
P1 0.0000 0.0000 0.5000
W1 0.5000 0.5000 0.2797
```

Properties
ΔE_f: 0.06 eV/atom
D(E_F): 2.76 states/eV/f.u.
electronic total energy: -10.568 eV per atom
V: 64 Å³ per cell


# 6
MoSI: optimized geometry, GGA-PBEsol.

The structure in CIF format:
```
data_MoSI
_chemical_formula_sum 'Mo16 S16 I16'
_space_group_name_H-M_alt 'F -4 3 m'
_space_group_IT_number 216
_space_group_name_Hall 'F -4 2 3'
_cell_length_a 10.2555
_cell_length_b 10.2555
_cell_length_c 10.2555
_cell_angle_alpha 90.00
_cell_angle_beta 90.00
_cell_angle_gamma 90.00
loop_
_atom_site_label
_atom_site_fract_x
_atom_site_fract_y
_atom_site_fract_z
Mo1 0.0955 0.0955 0.0955
S1 0.1285 0.1285 0.8715
I1 0.1260 0.1260 0.3740
```

Properties
electronic total energy: -6.646 eV per atom
V: 1079 Å³ per cell


# 7
MgAg2: optimized geometry, GGA-PBEsol.

The structure in CIF format:
```
data_MgAg2
_chemical_formula_sum 'Mg8 Ag16'
_space_group_name_H-M_alt 'I 41/a m d'
_space_group_IT_number 141
_cell_length_a 4.0599
_cell_length_b 4.0599
_cell_length_c 25.0976
_cell_angle_alpha 90.00
_cell_angle_beta 90.00
_cell_angle_gamma 90.00
loop_
_space_group_symop_operation_xyz
'x,y,z'
'-x,-y,-z'
'-y+1/4,x+3/4,z+1/4'
'y+1/4,-x+3/4,-z+1/4'
'-x+1/2,-y,z+1/2'
'x+1/2,y,-z+1/2'
'y+1/4,-x+1/4,z+3/4'
'-y+1/4,x+1/4,-z+3/4'
'x,-y,-z'
'-x,y,z'
'-y+1/4,-x+1/4,-z+3/4'
'y+1/4,x+1/4,z+3/4'
'-x+1/2,y,-z+1/2'
'x+1/2,-y,z+1/2'
'y+1/4,x+3/4,-z+1/4'
'-y+1/4,-x+3/4,z+1/4'
'x+1/2,y+1/2,z+1/2'
'-x+1/2,-y+1/2,-z+1/2'
'-y+3/4,x+1/4,z+3/4'
'y+3/4,-x+1/4,-z+3/4'
'-x,-y+1/2,z'
'x,y+1/2,-z'
'y+3/4,-x+3/4,z+1/4'
'-y+3/4,x+3/4,-z+1/4'
'x+1/2,-y+1/2,-z+1/2'
'-x+1/2,y+1/2,z+1/2'
'-y+3/4,-x+3/4,-z+1/4'
'y+3/4,x+3/4,z+1/4'
'-x,y+1/2,-z'
'x,-y+1/2,z'
'y+3/4,x+1/4,-z+3/4'
'-y+3/4,-x+1/4,z+3/4'
loop_
_atom_site_label
_atom_site_fract_x
_atom_site_fract_y
_atom_site_fract_z
Mg1 0.0000 0.2500 0.2953
Ag1 0.0000 0.2500 0.1255
Ag2 0.0000 0.2500 0.7909
```

Properties
ΔE_f: -0.18 eV/atom
D(E_F): 1.03 states/eV/f.u.
electronic total energy: -2.963 eV per atom
V: 414 Å³ per cell
ΔE to the lowest computed polymorph: 0.006 eV/atom


# 8
Os2RhPb: optimized geometry, GGA-PBEsol.

The structure in CIF format:
```
data_Os2RhPb
_chemical_formula_sum 'Os2 Rh1 Pb1'
_space_group_name_H-M_alt 'P 1 2/m 1'
_space_group_IT_number 10
_cell_length_a 4.7027
_cell_length_b 2.8643
_cell_length_c 4.8511
_cell_angle_alpha 90.00
_cell_angle_beta 105.91
_cell_angle_gamma 90.00
loop_
_space_group_symop_operation_xyz
'x,y,z'
'-x,-y,-z'
'-x,y,-z'
'x,-y,z'
loop_
_atom_site_label
_atom_site_fract_x
_atom_site_fract_y
_atom_site_fract_z
Os1 0.0000 0.0000 0.0000
Os2 0.5000 0.5000 0.0000
Rh1 0.0000 0.5000 0.5000
Pb1 0.5000 0.0000 0.5000
```

Properties
ΔE_f: 0.70 eV/atom
D(E_F): 3.80 states/eV/f.u.
electronic total energy: -8.446 eV per atom
V: 63 Å³ per cell


# 9
NiHgBr2: optimized geometry, GGA-PBEsol.

The structure in CIF format:
```
data_NiHgBr2
_chemical_formula_sum 'Ni2 Hg2 Br4'
_space_group_name_H-M_alt 'A m m 2'
_space_group_IT_number 38
_cell_length_a 3.4027
_cell_length_b 4.0065
_cell_length_c 13.7013
_cell_angle_alpha 90.00
_cell_angle_beta 90.00
_cell_angle_gamma 90.00
loop_
_space_group_symop_operation_xyz
'x,y,z'
'-x,-y,z'
'-x,y,z'
'x,-y,z'
'x,y+1/2,z+1/2'
'-x,-y+1/2,z+1/2'
'-x,y+1/2,z+1/2'
'x,-y+1/2,z+1/2'
loop_
_atom_site_label
_atom_site_fract_x
_atom_site_fract_y
_atom_site_fract_z
Ni1 0.0000 0.0000 0.0000
Hg1 0.5000 0.0000 0.4610
Br1 0.0000 0.0000 0.8319
Br2 0.5000 0.0000 0.1285
```

Properties
D(E_F): 2.53 states/eV/f.u.
electronic total energy: -2.726 eV per atom
V: 187 Å³ per cell
ΔE to the lowest computed polymorph: 0.001 eV/atom


# 10
Ba5Si3: optimized geometry, GGA-PBEsol.

The structure in CIF format:
```
data_Ba5Si3
_chemical_formula_sum 'Ba20 Si12'
_space_group_name_H-M_alt 'P 4/n c c'
_space_group_IT_number 130
_cell_length_a 8.3464
_cell_length_b 8.3464
_cell_length_c 16.4330
_cell_angle_alpha 90.00
_cell_angle_beta 90.00
_cell_angle_gamma 90.00
loop_
_space_group_symop_operation_xyz
'x,y,z'
'-x,-y,-z'
'-y+1/2,x,z'
'y+1/2,-x,-z'
'-x+1/2,-y+1/2,z'
'x+1/2,y+1/2,-z'
'y,-x+1/2,z'
'-y,x+1/2,-z'
'x+1/2,-y,-z+1/2'
'-x+1/2,y,z+1/2'
'-y,-x,-z+1/2'
'y,x,z+1/2'
'-x,y+1/2,-z+1/2'
'x,-y+1/2,z+1/2'
'y+1/2,x+1/2,-z+1/2'
'-y+1/2,-x+1/2,z+1/2'
loop_
_atom_site_label
_atom_site_fract_x
_atom_site_fract_y
_atom_site_fract_z
Ba1 0.0528 0.5814 0.1076
Ba2 0.2500 0.2500 0.2196
Si1 0.1478 0.6478 0.7500
Si2 0.2500 0.2500 0.0123
```

Properties
D(E_F): 3.48 states/eV/f.u.
electronic total energy: -3.862 eV per atom
V: 1145 Å³ per cell


# 11
CsCu3Br: optimized geometry, GGA-PBEsol.

The structure in CIF format:
```
data_CsCu3Br
_chemical_formula_sum 'Cs1 Cu3 Br1'
_space_group_name_H-M_alt 'P m -3 m'
_space_group_IT_number 221
_space_group_name_Hall '-P 4 2 3'
_cell_length_a 5.3030
_cell_length_b 5.3030
_cell_length_c 5.3030
_cell_angle_alpha 90.00
_cell_angle_beta 90.00
_cell_angle_gamma 90.00
loop_
_atom_site_label
_atom_site_fract_x
_atom_site_fract_y
_atom_site_fract_z
Cs1 0.0000 0.0000 0.0000
Cu1 0.0000 0.0000 0.5000
Br1 0.5000 0.5000 0.5000
```

Properties
D(E_F): 3.11 states/eV/f.u.
electronic total energy: -1.503 eV per atom
V: 149 Å³ per cell
ΔE to the lowest computed polymorph: 0.822 eV/atom


# 12
K4V5CuClO15: optimized geometry, GGA-PBEsol.

The structure in CIF format:
```
data_K4V5CuClO15
_chemical_formula_sum 'K4 V5 Cu1 Cl1 O15'
_space_group_name_H-M_alt 'P 4'
_space_group_IT_number 75
_cell_length_a 8.8402
_cell_length_b 8.8402
_cell_length_c 5.4237
_cell_angle_alpha 90.00
_cell_angle_beta 90.00
_cell_angle_gamma 90.00
loop_
_space_group_symop_operation_xyz
'x,y,z'
'-y,x,z'
'-x,-y,z'
'y,-x,z'
loop_
_atom_site_label
_atom_site_fract_x
_atom_site_fract_y
_atom_site_fract_z
K1 0.1513 0.6874 0.0000
V1 0.1376 0.3692 0.4703
V2 0.5000 0.5000 0.4399
Cu1 0.0000 0.0000 0.4097
Cl1 0.0000 0.0000 0.8661
O1 0.0000 0.5000 0.3503
O2 0.0917 0.1964 0.3657
O3 0.1379 0.3758 0.7727
O4 0.3153 0.4146 0.3483
O5 0.5000 0.5000 0.7336
```

Properties
D(E_F): 2.82 states/eV/f.u.
electronic total energy: -7.469 eV per atom
V: 424 Å³ per cell